1.
Material: ZrBPb
Method: DFT, GGA-PBE
State: relaxed

Unit cell a=4.515 b=4.515 c=4.515 alpha=60.00 beta=60.00 gamma=60.00
Fractional coordinates of all 3 atoms:
Zr 0.000 0.000 0.000
B 0.750 0.750 0.750
Pb 0.500 0.500 0.500

Output
total energy	-16.9	eV for the cell shown
magnetic moment	0.0	μB/f.u.
offset from the most stable computed form	0.000	eV per formula unit

***

2.
Material: ZrB4Pb
Method: DFT, GGA-PBE
State: relaxed

Unit cell a=5.144 b=5.144 c=5.144 alpha=144.27 beta=116.54 gamma=75.01
Fractional coordinates of all 6 atoms:
Zr 0.000 0.000 0.000
B 0.079 0.746 0.334
B 0.412 0.746 0.666
B 0.588 0.254 0.334
B 0.921 0.254 0.666
Pb 0.500 0.500 0.000

Output
total energy	-38.3	eV for the cell shown
magnetic moment	0.0	μB/f.u.
offset from the most stable computed form	1.430	eV per formula unit